Density functional theory data (PBE) for Al7Ag4 after structural relaxation.

Values from the calculation:
D(E_F), states/eV per cell: 5.10
Formation energy from the elements, eV per atom: 0.00
Energy relative to the lowest polymorph listed for this composition, eV per atom: 0.0144
V, Å³ per atom: 16.934
Size of the total moment, μB per cell: 0.00

a b c (Å): 14.6433 4.0107 6.5301
angles (deg): 90.00 103.74 90.00
With the nearest neighbours (Å) after each atom.
Space group Cm (No. 8)
One atom of each set of equivalent atoms:
Al 0.0000 0.0000 0.0000  5 Ag 2.84-2.90, 7 Al 2.85-2.99
Al 0.0423 0.5000 0.7274  3 Ag 2.76-2.99, 9 Al 2.85-2.99
Al 0.0871 0.0000 0.4559  8 Al 2.82-2.99, 4 Ag 2.84-2.85
Al 0.1819 0.0000 0.9147  7 Ag 2.82-2.93, 5 Al 2.85-2.99
Al 0.2705 0.0000 0.3671  7 Ag 2.86-2.91, 5 Al 2.86-2.93
Al 0.4068 0.5000 0.5395  4 Ag 2.81-2.99, 8 Al 2.82-2.99
Al 0.4522 0.0000 0.2664  4 Ag 2.81-2.99, 8 Al 2.85-2.99
Ag 0.1349 0.5000 0.1885  10 Al 2.84-2.99, 2 Ag 2.92
Ag 0.2181 0.5000 0.6410  8 Al 2.76-2.99, 4 Ag 2.92-3.01
Ag 0.3209 0.5000 0.0984  8 Al 2.81-2.91, 4 Ag 2.92-3.01
Ag 0.3645 0.0000 0.8038  8 Al 2.76-2.99, 4 Ag 2.94-2.95